5
Lattice="4.081 0.000 0.000 0.000 4.081 0.000 0.000 0.000 4.081" Properties=species:S:1:pos:R:3 comment="TcTeC3, relaxed, DFT PBE" total_energy_ev_per_cell=-24.911 relative_energy_ev_per_atom=1.180 e_form_raw_ev_per_atom=3.25 dos_ef_per_ev_cell=10.18 pbc="T T T"
Tc 0.000 0.000 0.000
Te 2.040 2.040 2.040
C 0.000 2.040 2.040
C 2.040 0.000 2.040
C 2.040 2.040 0.000

=====

4
Lattice="1.656 0.956 8.109 -1.656 0.956 8.109 0.000 -1.912 8.109" Properties=species:S:1:pos:R:3 comment="TcTe2C, relaxed, DFT PBE" total_energy_ev_per_cell=-19.509 e_form_raw_ev_per_atom=1.59 dos_ef_per_ev_cell=3.44 pbc="T T T"
Tc 0.000 0.000 0.000
Te 0.000 0.000 2.521
Te 0.000 0.000 21.805
C 0.000 0.000 12.163

=====

5
Lattice="4.154 0.000 0.000 0.000 4.154 0.000 0.000 0.000 4.154" Properties=species:S:1:pos:R:3 comment="Tc3TeC, relaxed, DFT PBE" total_energy_ev_per_cell=-41.539 relative_energy_ev_per_atom=0.000 e_form_raw_ev_per_atom=0.38 dos_ef_per_ev_cell=5.32 pbc="T T T"
Tc 0.000 0.000 2.077
Tc 0.000 2.077 0.000
Tc 2.077 0.000 0.000
Te 2.077 2.077 2.077
C 0.000 0.000 0.000